The following is a DFT calculation (PBE) of a relaxed SmDyNi crystal.

```
data_SmDyNi
_chemical_formula_sum 'Sm2 Dy2 Ni2'
_cell_length_a 3.439
_cell_length_b 3.439
_cell_length_c 12.563
_cell_angle_alpha 90.00
_cell_angle_beta 90.00
_cell_angle_gamma 90.00
_symmetry_space_group_name_H-M 'I 4 m m'
_symmetry_Int_Tables_number 107
_symmetry_space_group_name_Hall 'I 4 -2'
loop_
_atom_site_label
_atom_site_type_symbol
_atom_site_fract_x
_atom_site_fract_y
_atom_site_fract_z
_atom_site_occupancy
Sm1 Sm 0.000 0.000 0.000 1
Dy1 Dy 0.000 0.000 0.738 1
Ni1 Ni 0.000 0.000 0.361 1
```

Output
Density = 8.31 g/cm³
Polymorph energy (0 for the lowest one) = 54 meV/atom
Total DFT energy (no corrections) = -31.4 eV per cell
M_tot = 0.00 μB per formula unit
D(E_F) = 3.11 states/eV/f.u.


The following is a DFT calculation (PBE) of a relaxed SmDy2Ni crystal.

```
data_SmDy2Ni
_chemical_formula_sum 'Sm3 Dy6 Ni3'
_cell_length_a 3.8215
_cell_length_b 3.8215
_cell_length_c 26.7335
_cell_angle_alpha 90.00
_cell_angle_beta 90.00
_cell_angle_gamma 120.00
_symmetry_space_group_name_H-M 'R 3 m'
_symmetry_Int_Tables_number 160
_symmetry_space_group_name_Hall 'R 3 -2"'
loop_
_atom_site_label
_atom_site_type_symbol
_atom_site_fract_x
_atom_site_fract_y
_atom_site_fract_z
_atom_site_occupancy
Sm1 Sm 0.0000 0.0000 0.0000 1
Dy1 Dy 0.0000 0.0000 0.5562 1
Dy2 Dy 0.0000 0.0000 0.7730 1
Ni1 Ni 0.0000 0.0000 0.1638 1
```

Output
Density = 7.87 g/cm³
Polymorph energy (0 for the lowest one) = 120 meV/atom
Total DFT energy (no corrections) = -60.4 eV per cell
M_tot = 0.00 μB per formula unit
D(E_F) = 4.48 states/eV/f.u.


The following is a DFT calculation (PBE) of a relaxed SmDyNi4 crystal.

```
data_SmDyNi4
_chemical_formula_sum 'Sm4 Dy4 Ni16'
_cell_length_a 7.211
_cell_length_b 7.211
_cell_length_c 7.211
_cell_angle_alpha 90.00
_cell_angle_beta 90.00
_cell_angle_gamma 90.00
_symmetry_space_group_name_H-M 'F -4 3 m'
_symmetry_Int_Tables_number 216
_symmetry_space_group_name_Hall 'F -4 2 3'
loop_
_atom_site_label
_atom_site_type_symbol
_atom_site_fract_x
_atom_site_fract_y
_atom_site_fract_z
_atom_site_occupancy
Sm1 Sm 0.000 0.000 0.000 1
Dy1 Dy 0.250 0.250 0.250 1
Ni1 Ni 0.125 0.125 0.625 1
```

Output
Density = 9.70 g/cm³
Total DFT energy (no corrections) = -139.5 eV per cell
M_tot = 0.00 μB per formula unit
D(E_F) = 3.95 states/eV/f.u.


The following is a DFT calculation (PBE) of a relaxed SmDy8Ni2 crystal.

```
data_SmDy8Ni2
_chemical_formula_sum 'Sm2 Dy16 Ni4'
_cell_length_a 21.160
_cell_length_b 3.643
_cell_length_c 8.611
_cell_angle_alpha 90.00
_cell_angle_beta 107.95
_cell_angle_gamma 90.00
_symmetry_space_group_name_H-M 'C 1 2/m 1'
_symmetry_Int_Tables_number 12
loop_
_symmetry_equiv_pos_as_xyz
'x,y,z'
'-x,-y,-z'
'-x,y,-z'
'x,-y,z'
'x+1/2,y+1/2,z'
'-x+1/2,-y+1/2,-z'
'-x+1/2,y+1/2,-z'
'x+1/2,-y+1/2,z'
loop_
_atom_site_label
_atom_site_type_symbol
_atom_site_fract_x
_atom_site_fract_y
_atom_site_fract_z
_atom_site_occupancy
Sm1 Sm 0.000 0.000 0.000 1
Dy1 Dy 0.045 0.500 0.701 1
Dy2 Dy 0.106 0.000 0.430 1
Dy3 Dy 0.175 0.000 0.948 1
Dy4 Dy 0.232 0.500 0.320 1
Ni1 Ni 0.173 0.500 0.685 1
```

Output
Density = 8.25 g/cm³
Total DFT energy (no corrections) = -107.7 eV per cell
M_tot = 0.01 μB per formula unit
D(E_F) = 14.31 states/eV/f.u.


The following is a DFT calculation (PBE) of a relaxed SmDy2Ni6 crystal.

```
data_SmDy2Ni6
_chemical_formula_sum 'Sm1 Dy2 Ni6'
_cell_length_a 6.9636
_cell_length_b 6.9636
_cell_length_c 3.7378
_cell_angle_alpha 90.00
_cell_angle_beta 90.00
_cell_angle_gamma 120.00
_symmetry_space_group_name_H-M 'P 6/m m m'
_symmetry_Int_Tables_number 191
_symmetry_space_group_name_Hall '-P 6 2'
loop_
_atom_site_label
_atom_site_type_symbol
_atom_site_fract_x
_atom_site_fract_y
_atom_site_fract_z
_atom_site_occupancy
Sm1 Sm 0.0000 0.0000 0.0000 1
Dy1 Dy 0.3333 0.6667 0.0000 1
Ni1 Ni 0.0000 0.3346 0.5000 1
```

Output
Density = 8.75 g/cm³
Total DFT energy (no corrections) = -52.0 eV per cell
M_tot = 0.80 μB per formula unit
D(E_F) = 9.25 states/eV/f.u.


The following is a DFT calculation (PBE) of a relaxed Sm2DyNi9 crystal.

```
data_Sm2DyNi9
_chemical_formula_sum 'Sm6 Dy3 Ni27'
_cell_length_a 4.9829
_cell_length_b 4.9829
_cell_length_c 24.6371
_cell_angle_alpha 90.00
_cell_angle_beta 90.00
_cell_angle_gamma 120.00
_symmetry_space_group_name_H-M 'R -3 m'
_symmetry_Int_Tables_number 166
_symmetry_space_group_name_Hall '-R 3 2"'
loop_
_atom_site_label
_atom_site_type_symbol
_atom_site_fract_x
_atom_site_fract_y
_atom_site_fract_z
_atom_site_occupancy
Sm1 Sm 0.0000 0.0000 0.1383 1
Dy1 Dy 0.0000 0.0000 0.0000 1
Ni1 Ni 0.0000 0.0000 0.3329 1
Ni2 Ni 0.0000 0.0000 0.5000 1
Ni3 Ni 0.0002 0.5001 0.0806 1
```

Output
Density = 9.32 g/cm³
Total DFT energy (no corrections) = -211.4 eV per cell
M_tot = 1.02 μB per formula unit
D(E_F) = 14.54 states/eV/f.u.


The following is a DFT calculation (PBE) of a relaxed SmDyNi crystal.

```
data_SmDyNi
_chemical_formula_sum 'Sm6 Dy6 Ni6'
_cell_length_a 14.864
_cell_length_b 3.701
_cell_length_c 8.037
_cell_angle_alpha 90.00
_cell_angle_beta 90.00
_cell_angle_gamma 90.00
_symmetry_space_group_name_H-M 'P m m a'
_symmetry_Int_Tables_number 51
loop_
_symmetry_equiv_pos_as_xyz
'x,y,z'
'-x,-y,-z'
'-x+1/2,-y,z'
'x+1/2,y,-z'
'x+1/2,-y,-z'
'-x+1/2,y,z'
'-x,y,-z'
'x,-y,z'
loop_
_atom_site_label
_atom_site_type_symbol
_atom_site_fract_x
_atom_site_fract_y
_atom_site_fract_z
_atom_site_occupancy
Sm1 Sm 0.054 0.000 0.191 1
Sm2 Sm 0.250 0.000 0.881 1
Dy1 Dy 0.114 0.500 0.589 1
Dy2 Dy 0.250 0.500 0.255 1
Ni1 Ni 0.092 0.500 0.935 1
Ni2 Ni 0.250 0.000 0.514 1
```

Output
Density = 8.37 g/cm³
Polymorph energy (0 for the lowest one) = 0 meV/atom
Total DFT energy (no corrections) = -95.3 eV per cell
M_tot = 0.00 μB per formula unit
D(E_F) = 3.05 states/eV/f.u.


The following is a DFT calculation (PBE) of a relaxed SmDy2Ni9 crystal.

```
data_SmDy2Ni9
_chemical_formula_sum 'Sm3 Dy6 Ni27'
_cell_length_a 4.9849
_cell_length_b 4.9849
_cell_length_c 24.3485
_cell_angle_alpha 90.00
_cell_angle_beta 90.00
_cell_angle_gamma 120.00
_symmetry_space_group_name_H-M 'R -3 m'
_symmetry_Int_Tables_number 166
_symmetry_space_group_name_Hall '-R 3 2"'
loop_
_atom_site_label
_atom_site_type_symbol
_atom_site_fract_x
_atom_site_fract_y
_atom_site_fract_z
_atom_site_occupancy
Sm1 Sm 0.0000 0.0000 0.0000 1
Dy1 Dy 0.0000 0.0000 0.1394 1
Ni1 Ni 0.0000 0.0000 0.3330 1
Ni2 Ni 0.0000 0.0000 0.5000 1
Ni3 Ni 0.0010 0.5005 0.9175 1
```

Output
Density = 9.54 g/cm³
Total DFT energy (no corrections) = -212.2 eV per cell
M_tot = 0.83 μB per formula unit
D(E_F) = 15.24 states/eV/f.u.


The following is a DFT calculation (PBE) of a relaxed Sm2DyNi6 crystal.

```
data_Sm2DyNi6
_chemical_formula_sum 'Sm2 Dy1 Ni6'
_cell_length_a 6.9752
_cell_length_b 6.9752
_cell_length_c 3.7915
_cell_angle_alpha 90.00
_cell_angle_beta 90.00
_cell_angle_gamma 120.00
_symmetry_space_group_name_H-M 'P 6/m m m'
_symmetry_Int_Tables_number 191
_symmetry_space_group_name_Hall '-P 6 2'
loop_
_atom_site_label
_atom_site_type_symbol
_atom_site_fract_x
_atom_site_fract_y
_atom_site_fract_z
_atom_site_occupancy
Sm1 Sm 0.3333 0.6667 0.0000 1
Dy1 Dy 0.0000 0.0000 0.0000 1
Ni1 Ni 0.0000 0.3320 0.5000 1
```

Output
Density = 8.48 g/cm³
Total DFT energy (no corrections) = -52.0 eV per cell
M_tot = 0.85 μB per formula unit
D(E_F) = 9.47 states/eV/f.u.


The following is a DFT calculation (PBE) of a relaxed SmDyNi crystal.

```
data_SmDyNi
_chemical_formula_sum 'Sm4 Dy4 Ni4'
_cell_length_a 6.757
_cell_length_b 3.897
_cell_length_c 12.515
_cell_angle_alpha 90.00
_cell_angle_beta 100.26
_cell_angle_gamma 90.00
_symmetry_space_group_name_H-M 'C 1 2/m 1'
_symmetry_Int_Tables_number 12
loop_
_symmetry_equiv_pos_as_xyz
'x,y,z'
'-x,-y,-z'
'-x,y,-z'
'x,-y,z'
'x+1/2,y+1/2,z'
'-x+1/2,-y+1/2,-z'
'-x+1/2,y+1/2,-z'
'x+1/2,-y+1/2,z'
loop_
_atom_site_label
_atom_site_type_symbol
_atom_site_fract_x
_atom_site_fract_y
_atom_site_fract_z
_atom_site_occupancy
Sm1 Sm 0.204 0.000 0.111 1
Dy1 Dy 0.048 0.000 0.647 1
Ni1 Ni 0.166 0.500 0.501 1
```

Output
Density = 7.61 g/cm³
Polymorph energy (0 for the lowest one) = 85 meV/atom
Total DFT energy (no corrections) = -62.5 eV per cell
M_tot = 0.00 μB per formula unit
D(E_F) = 4.37 states/eV/f.u.


| no. | energy relative to the elements (eV per formula unit) |
| --- | --- |
| 1 | -0.61 |
| 2 | -0.44 |
| 3 | -2.43 |
| 4 | -0.76 |
| 5 | -3.39 |
| 6 | -4.39 |
| 7 | -0.77 |
| 8 | -4.78 |
| 9 | -3.23 |
| 10 | -0.52 |